1.
Here is PmPr2Sm5Dy after structural relaxation from the Alexandria database. Energies are from PBE.

Properties
DOS(E_F) (states/eV/atom): 1.42
Uncorrected energy (eV per cell): -80.24
Formation energy from the elements (eV per atom): 0.265
Symmetry: I4/mcm (140)

Cell lengths 8.781, 8.781, 10.162 Å; angles 115.60, 115.60, 90.00 degrees
Atoms (fractional coordinates):
Sm (0.929, 0.429, 0.281)
Sm (0.071, 0.571, 0.719)
Sm (0.500, 0.500, 0.000)
Sm (0.571, 0.648, 0.719)
Sm (0.852, 0.929, 0.281)
Sm (0.429, 0.352, 0.281)
Sm (0.000, 0.000, 0.000)
Sm (0.648, 0.148, 0.719)
Sm (0.148, 0.071, 0.719)
Sm (0.352, 0.852, 0.281)
Dy (0.750, 0.250, 0.500)
Dy (0.250, 0.750, 0.500)
Pr (0.619, 0.119, 0.000)
Pr (0.881, 0.619, 0.000)
Pr (0.381, 0.881, 0.000)
Pr (0.119, 0.381, 0.000)
Pm (0.750, 0.750, 0.500)
Pm (0.250, 0.250, 0.500)

2.
Here is MnNbS2Cl after structural relaxation from the Alexandria database. Energies are from PBE.

Properties
DOS(E_F) (states/eV/atom): 1.93
Uncorrected energy (eV per cell): -27.17
Raw formation energy (eV per atom): 0.435
Symmetry: P4/mmm (123)

Cell lengths 4.413, 4.413, 4.380 Å; angles 90.00, 90.00, 90.00 degrees
Atoms (fractional coordinates):
Mn (0.000, 0.000, 0.000)
Cl (0.000, 0.000, 0.500)
S (0.500, 0.000, 0.000)
S (0.000, 0.500, 0.000)
Nb (0.500, 0.500, 0.500)

3.
Here is CeSbAu after structural relaxation from the Alexandria database. Energies are from PBE.

Properties
DOS(E_F) (states/eV/atom): 2.23
Uncorrected energy (eV per cell): -31.24
Raw formation energy (eV per atom): -0.762
Symmetry: Imm2 (44)

Cell lengths 4.642, 6.240, 6.240 Å; angles 81.32, 68.17, 68.17 degrees
Atoms (fractional coordinates):
Ce (0.000, 0.630, 0.370)
Ce (0.500, 0.175, 0.825)
Au (0.822, 0.156, 0.200)
Au (0.178, 0.800, 0.844)
Sb (0.746, 0.563, 0.944)
Sb (0.254, 0.056, 0.437)

4.
Here is B3SbPt after structural relaxation from the Alexandria database. Energies are from PBE.

Properties
DOS(E_F) (states/eV/atom): 0.58
Uncorrected energy (eV per cell): -18.69
Raw formation energy (eV per atom): 2.301
Symmetry: Pm-3m (221)

Cell lengths 4.407, 4.407, 4.407 Å; angles 90.00, 90.00, 90.00 degrees
Atoms (fractional coordinates):
B (0.500, 0.000, 0.000)
B (0.000, 0.500, 0.000)
B (0.000, 0.000, 0.500)
Pt (0.500, 0.500, 0.500)
Sb (0.000, 0.000, 0.000)

5.
Here is RbGeNO2 after structural relaxation from the Alexandria database. Energies are from PBE.

Properties
DOS(E_F) (states/eV/atom): 0.52
Uncorrected energy (eV per cell): -15.28
Raw formation energy (eV per atom): 1.709
Symmetry: P4/mmm (123)

Cell lengths 4.311, 4.311, 4.634 Å; angles 90.00, 90.00, 90.00 degrees
Atoms (fractional coordinates):
O (0.000, 0.500, 0.000)
O (0.500, 0.000, 0.000)
Ge (0.500, 0.500, 0.500)
Rb (0.000, 0.000, 0.000)
N (0.000, 0.000, 0.500)

6.
Here is KNaMgPt2 after structural relaxation from the Alexandria database. Energies are from PBE.

Properties
DOS(E_F) (states/eV/atom): 0.21
Uncorrected energy (eV per cell): -15.27
Formation energy from the elements (eV per atom): 0.164
Symmetry: P4/mmm (123)

Cell lengths 4.903, 5.327, 4.903 Å; angles 90.00, 90.00, 90.00 degrees
Atoms (fractional coordinates):
Pt (0.000, 0.000, 0.500)
Pt (0.500, 0.000, 0.000)
Na (0.000, 0.500, 0.000)
K (0.500, 0.500, 0.500)
Mg (0.000, 0.000, 0.000)

7.
Here is Sm2InPdO6 after structural relaxation from the Alexandria database. Energies are from PBE.

Properties
DOS(E_F) (states/eV/atom): 0.05
Uncorrected energy (eV per cell): -137.19
Raw formation energy (eV per atom): -2.148
Symmetry: P2_1/c (14)

Cell lengths 5.550, 6.082, 7.911 Å; angles 90.00, 90.50, 90.00 degrees
Atoms (fractional coordinates):
O (0.690, 0.318, 0.942)
O (0.310, 0.682, 0.058)
O (0.633, 0.054, 0.259)
O (0.810, 0.821, 0.930)
O (0.190, 0.179, 0.070)
O (0.310, 0.679, 0.430)
O (0.867, 0.554, 0.241)
O (0.810, 0.818, 0.558)
O (0.190, 0.182, 0.442)
O (0.133, 0.446, 0.759)
O (0.690, 0.321, 0.570)
O (0.367, 0.946, 0.741)
Sm (0.975, 0.080, 0.747)
Sm (0.475, 0.420, 0.247)
Sm (0.025, 0.920, 0.253)
Sm (0.525, 0.580, 0.753)
In (0.000, 0.500, 0.500)
In (0.500, 0.000, 0.000)
Pd (0.500, 0.000, 0.500)
Pd (0.000, 0.500, 0.000)

8.
Here is CaBiAu after structural relaxation from the Alexandria database. Energies are from PBE.

Properties
DOS(E_F) (states/eV/atom): 0.52
Uncorrected energy (eV per cell): -20.80
Formation energy from the elements (eV per atom): -0.413
Symmetry: P4/nmm (129)

Cell lengths 4.610, 4.610, 7.532 Å; angles 90.00, 90.00, 90.00 degrees
Atoms (fractional coordinates):
Au (0.000, 0.500, 0.772)
Au (0.500, 0.000, 0.228)
Ca (0.000, 0.000, 0.500)
Ca (0.500, 0.500, 0.500)
Bi (0.000, 0.500, 0.167)
Bi (0.500, 0.000, 0.833)

9.
Here is Pr7YSn4 after structural relaxation from the Alexandria database. Energies are from PBE.

Properties
DOS(E_F) (states/eV/atom): 0.91
Uncorrected energy (eV per cell): -59.66
Formation energy from the elements (eV per atom): -0.311
Symmetry: C2/m (12)

Cell lengths 5.927, 9.721, 7.767 Å; angles 79.37, 67.57, 72.25 degrees
Atoms (fractional coordinates):
Pr (0.500, 0.000, 0.000)
Pr (0.688, 0.385, 0.240)
Pr (0.058, 0.629, 0.255)
Pr (0.312, 0.615, 0.760)
Pr (0.209, 0.111, 0.471)
Pr (0.942, 0.371, 0.745)
Pr (0.791, 0.889, 0.529)
Sn (0.303, 0.328, 0.066)
Sn (0.437, 0.763, 0.362)
Sn (0.563, 0.237, 0.638)
Sn (0.697, 0.672, 0.934)
Y (0.000, 0.000, 0.000)

10.
Here is LaTb2Pm6Th after structural relaxation from the Alexandria database. Energies are from PBE.

Properties
DOS(E_F) (states/eV/atom): 1.49
Uncorrected energy (eV per cell): -97.34
Formation energy from the elements (eV per atom): 0.144
Symmetry: C2/c (15)

Cell lengths 9.694, 8.954, 8.954 Å; angles 116.96, 93.37, 93.37 degrees
Atoms (fractional coordinates):
Th (0.750, 0.592, 0.408)
Th (0.250, 0.408, 0.592)
Pm (0.383, 0.511, 0.296)
Pm (0.440, 0.247, 0.881)
Pm (0.560, 0.753, 0.119)
Pm (0.117, 0.704, 0.489)
Pm (0.617, 0.489, 0.704)
Pm (0.187, 0.567, 0.015)
Pm (0.313, 0.985, 0.433)
Pm (0.813, 0.433, 0.985)
Pm (0.687, 0.015, 0.567)
Pm (0.060, 0.119, 0.753)
Pm (0.940, 0.881, 0.247)
Pm (0.883, 0.296, 0.511)
La (0.250, 0.971, 0.029)
La (0.750, 0.029, 0.971)
Tb (0.951, 0.700, 0.803)
Tb (0.049, 0.300, 0.197)
Tb (0.451, 0.803, 0.700)
Tb (0.549, 0.197, 0.300)

11.
Here is LaCeRh2 after structural relaxation from the Alexandria database. Energies are from PBE.

Properties
DOS(E_F) (states/eV/atom): 1.07
Uncorrected energy (eV per cell): -27.94
Formation energy from the elements (eV per atom): -0.594
Symmetry: R3m (160)

Cell lengths 3.977, 3.977, 7.451 Å; angles 74.52, 74.52, 60.00 degrees
Atoms (fractional coordinates):
La (0.497, 0.497, 0.509)
Rh (0.257, 0.257, 0.229)
Rh (0.077, 0.077, 0.768)
Ce (0.669, 0.669, 0.994)

Number 1: ρ 7.2 g cm⁻³. Number 2: ρ 4.8 g cm⁻³. Number 3: ρ 9.8 g cm⁻³. Number 4: ρ 6.8 g cm⁻³. Number 5: ρ 3.9 g cm⁻³. Number 6: ρ 6.2 g cm⁻³. Number 7: ρ 7.7 g cm⁻³. Number 8: ρ 9.3 g cm⁻³. Number 9: ρ 6.6 g cm⁻³. Number 10: ρ 7.5 g cm⁻³. Number 11: ρ 8.3 g cm⁻³.